P:
Computed, not measured: a geometry-optimized Dy4PdRu structure at the PBE-GGA level of DFT.

abc: 4.8235 4.8235 6.8599
angles: 90.00 90.00 90.00
With the nearest neighbours (Å) after each atom.
Element x y z (fractional)
Dy (0.0000, 0.5000, 0.2424)  2 Ru 2.93, 2 Pd 2.99
Dy (0.0000, 0.5000, 0.7576)  2 Ru 2.93, 2 Pd 2.99
Dy (0.5000, 0.0000, 0.2424)  2 Ru 2.93, 2 Pd 2.99
Dy (0.5000, 0.0000, 0.7576)  2 Ru 2.93, 2 Pd 2.99
Pd (0.0000, 0.0000, 0.5000)  8 Dy 2.99
Ru (0.5000, 0.5000, 0.0000)  8 Dy 2.93

Fermi-level density of states in states/eV per cell: 4.06



Q:
Computed, not measured: a geometry-optimized Dy4PdRu structure at the PBE-GGA level of DFT.

abc: 9.4382 9.4382 9.4382
angles: 60.00 60.00 60.00
With the nearest neighbours (Å) after each atom.
Element x y z (fractional)
Dy (0.0571, 0.0571, 0.4429)  2 Ru 2.72
Dy (0.0571, 0.4429, 0.0571)  2 Ru 2.72
Dy (0.0571, 0.4429, 0.4429)  2 Ru 2.72
Dy (0.1876, 0.1876, 0.8124)  2 Pd 3.03
Dy (0.1876, 0.8124, 0.1876)  2 Pd 3.03
Dy (0.1876, 0.8124, 0.8124)  2 Pd 3.03
Dy (0.1947, 0.6018, 0.6018)  3 Ru 2.84
Dy (0.4429, 0.0571, 0.0571)  2 Ru 2.72
Dy (0.4429, 0.0571, 0.4429)  2 Ru 2.72
Dy (0.4429, 0.4429, 0.0571)  2 Ru 2.72
Dy (0.6018, 0.1947, 0.6018)  3 Ru 2.84
Dy (0.6018, 0.6018, 0.1947)  3 Ru 2.84
Dy (0.6018, 0.6018, 0.6018)  3 Ru 2.84
Dy (0.8124, 0.1876, 0.1876)  2 Pd 3.03
Dy (0.8124, 0.1876, 0.8124)  2 Pd 3.03
Dy (0.8124, 0.8124, 0.1876)  2 Pd 3.03
Pd (0.4783, 0.8406, 0.8406)  9 Dy 3.03-3.37
Pd (0.8406, 0.4783, 0.8406)  9 Dy 3.03-3.37
Pd (0.8406, 0.8406, 0.4783)  9 Dy 3.03-3.37
Pd (0.8406, 0.8406, 0.8406)  9 Dy 3.03-3.37
Ru (0.3892, 0.3892, 0.3892)  6 Dy 2.72-2.84
Ru (0.3892, 0.3892, 0.8324)  6 Dy 2.72-2.84
Ru (0.3892, 0.8324, 0.3892)  6 Dy 2.72-2.84
Ru (0.8324, 0.3892, 0.3892)  6 Dy 2.72-2.84

Fermi-level density of states in states/eV per cell: 23.59



Relative energies in meV per atom: P 45; Q 0



P:
Computed, not measured: a geometry-optimized DyTmPdRu structure at the PBE-GGA level of DFT.

abc: 3.4283 3.4283 6.8601
angles: 90.00 90.00 90.00
With the nearest neighbours (Å) after each atom.
Element x y z (fractional)
Dy (0.0000, 0.0000, 0.0000)  4 Ru 2.94, 4 Pd 3.03, 1 Tm 3.30
Tm (0.0000, 0.0000, 0.4805)  4 Ru 2.92, 4 Pd 2.99
Pd (0.5000, 0.5000, 0.7345)  4 Tm 2.99, 4 Dy 3.03
Ru (0.5000, 0.5000, 0.2437)  4 Tm 2.92, 4 Dy 2.94

Fermi-level density of states in states/eV per cell: 1.62



Q:
Computed, not measured: a geometry-optimized DyTmPdRu structure at the PBE-GGA level of DFT.

abc: 6.8480 6.8480 6.8480
angles: 90.00 90.00 90.00
With the nearest neighbours (Å) after each atom.
Element x y z (fractional)
Dy (0.0000, 0.0000, 0.0000)  4 Ru 2.97, 4 Pd 2.97
Dy (0.0000, 0.5000, 0.5000)  4 Ru 2.97, 4 Pd 2.97
Dy (0.5000, 0.0000, 0.5000)  4 Ru 2.97, 4 Pd 2.97
Dy (0.5000, 0.5000, 0.0000)  4 Ru 2.97, 4 Pd 2.97
Tm (0.0000, 0.0000, 0.5000)  4 Pd 2.97, 4 Ru 2.97
Tm (0.0000, 0.5000, 0.0000)  4 Pd 2.97, 4 Ru 2.97
Tm (0.5000, 0.0000, 0.0000)  4 Pd 2.97, 4 Ru 2.97
Tm (0.5000, 0.5000, 0.5000)  4 Pd 2.97, 4 Ru 2.97
Pd (0.2500, 0.2500, 0.2500)  4 Dy 2.97, 4 Tm 2.97
Pd (0.2500, 0.7500, 0.7500)  4 Dy 2.97, 4 Tm 2.97
Pd (0.7500, 0.2500, 0.7500)  4 Dy 2.97, 4 Tm 2.97
Pd (0.7500, 0.7500, 0.2500)  4 Dy 2.97, 4 Tm 2.97
Ru (0.2500, 0.2500, 0.7500)  4 Dy 2.97, 4 Tm 2.97
Ru (0.2500, 0.7500, 0.2500)  4 Dy 2.97, 4 Tm 2.97
Ru (0.7500, 0.2500, 0.2500)  4 Dy 2.97, 4 Tm 2.97
Ru (0.7500, 0.7500, 0.7500)  4 Dy 2.97, 4 Tm 2.97

Fermi-level density of states in states/eV per cell: 6.06



Relative energies in meV per atom: P 0; Q 37



P:
Computed, not measured: a geometry-optimized DyYPdRu structure at the PBE-GGA level of DFT.

abc: 6.9069 6.9069 6.9069
angles: 90.00 90.00 90.00
With the nearest neighbours (Å) after each atom.
Element x y z (fractional)
Dy (0.0000, 0.0000, 0.0000)  4 Ru 2.99, 4 Pd 2.99
Dy (0.0000, 0.5000, 0.5000)  4 Ru 2.99, 4 Pd 2.99
Dy (0.5000, 0.0000, 0.5000)  4 Ru 2.99, 4 Pd 2.99
Dy (0.5000, 0.5000, 0.0000)  4 Ru 2.99, 4 Pd 2.99
Y (0.0000, 0.0000, 0.5000)  4 Ru 2.99, 4 Pd 2.99
Y (0.0000, 0.5000, 0.0000)  4 Ru 2.99, 4 Pd 2.99
Y (0.5000, 0.0000, 0.0000)  4 Ru 2.99, 4 Pd 2.99
Y (0.5000, 0.5000, 0.5000)  4 Ru 2.99, 4 Pd 2.99
Pd (0.2500, 0.2500, 0.2500)  4 Dy 2.99, 4 Y 2.99
Pd (0.2500, 0.7500, 0.7500)  4 Y 2.99, 4 Dy 2.99
Pd (0.7500, 0.2500, 0.7500)  4 Y 2.99, 4 Dy 2.99
Pd (0.7500, 0.7500, 0.2500)  4 Y 2.99, 4 Dy 2.99
Ru (0.2500, 0.2500, 0.7500)  4 Dy 2.99, 4 Y 2.99
Ru (0.2500, 0.7500, 0.2500)  4 Dy 2.99, 4 Y 2.99
Ru (0.7500, 0.2500, 0.2500)  4 Dy 2.99, 4 Y 2.99
Ru (0.7500, 0.7500, 0.7500)  4 Dy 2.99, 4 Y 2.99

Fermi-level density of states in states/eV per cell: 7.27



Q:
Computed, not measured: a geometry-optimized DyYPdRu structure at the PBE-GGA level of DFT.

abc: 3.4517 3.4517 6.9460
angles: 90.00 90.00 90.00
With the nearest neighbours (Å) after each atom.
Element x y z (fractional)
Dy (0.0000, 0.0000, 0.0000)  4 Ru 2.95, 4 Pd 3.02
Y (0.0000, 0.0000, 0.5198)  4 Ru 2.97, 4 Pd 3.05
Pd (0.5000, 0.5000, 0.2571)  4 Dy 3.02, 4 Y 3.05
Ru (0.5000, 0.5000, 0.7625)  4 Dy 2.95, 4 Y 2.97

Fermi-level density of states in states/eV per cell: 2.07



Relative energies in meV per atom: P 34; Q 0



P:
Computed, not measured: a geometry-optimized Dy2SbPd structure at the PBE-GGA level of DFT.

abc: 6.1129 4.3083 8.2249
angles: 90.00 111.39 90.00
With the nearest neighbours (Å) after each atom.
Element x y z (fractional)
Dy (0.1817, 0.2500, 0.4085)  2 Pd 2.94, 4 Sb 3.12-3.24
Dy (0.2614, 0.7500, 0.0569)  3 Pd 2.95-3.04, 3 Sb 3.17-3.24
Dy (0.7386, 0.2500, 0.9431)  3 Pd 2.95-3.04, 3 Sb 3.17-3.24
Dy (0.8183, 0.7500, 0.5915)  2 Pd 2.94, 4 Sb 3.12-3.24
Sb (0.3849, 0.7500, 0.7064)  2 Pd 2.91, 7 Dy 3.12-3.24
Sb (0.6151, 0.2500, 0.2936)  2 Pd 2.91, 7 Dy 3.12-3.24
Pd (0.1262, 0.2500, 0.7939)  2 Sb 2.91, 5 Dy 2.94-3.04
Pd (0.8738, 0.7500, 0.2061)  2 Sb 2.91, 5 Dy 2.94-3.04

Fermi-level density of states in states/eV per cell: 5.98



Q:
Computed, not measured: a geometry-optimized Dy2SbPd structure at the PBE-GGA level of DFT.

abc: 5.0151 5.0151 3.8606
angles: 90.00 90.00 90.00
With the nearest neighbours (Å) after each atom.
Element x y z (fractional)
Dy (0.0000, 0.5000, 0.0000)  4 Sb 3.16, 4 Pd 3.16
Dy (0.5000, 0.0000, 0.0000)  4 Sb 3.16, 4 Pd 3.16
Sb (0.0000, 0.0000, 0.5000)  8 Dy 3.16
Pd (0.5000, 0.5000, 0.5000)  8 Dy 3.16

Fermi-level density of states in states/eV per cell: 3.28



Relative energies in meV per atom: P 0; Q 143



P:
Computed, not measured: a geometry-optimized DySc2Pd structure at the PBE-GGA level of DFT.

abc: 4.7927 4.7927 13.6379
angles: 90.00 90.00 120.00
With the nearest neighbours (Å) after each atom.
Element x y z (fractional)
Dy (0.0000, 0.0000, 0.0000)  8 Sc 3.11-3.12
Dy (0.3333, 0.6667, 0.6667)  8 Sc 3.11-3.12
Dy (0.6667, 0.3333, 0.3333)  8 Sc 3.11-3.12
Sc (0.0000, 0.0000, 0.2287)  3 Pd 2.89, 4 Dy 3.11-3.12
Sc (0.0000, 0.0000, 0.7713)  3 Pd 2.89, 4 Dy 3.11-3.12
Sc (0.3333, 0.6667, 0.4379)  3 Pd 2.89, 4 Dy 3.11-3.12
Sc (0.3333, 0.6667, 0.8954)  3 Pd 2.89, 4 Dy 3.11-3.12
Sc (0.6667, 0.3333, 0.1046)  3 Pd 2.89, 4 Dy 3.11-3.12
Sc (0.6667, 0.3333, 0.5621)  3 Pd 2.89, 4 Dy 3.11-3.12
Pd (0.0000, 0.0000, 0.5000)  6 Sc 2.89
Pd (0.3333, 0.6667, 0.1667)  6 Sc 2.89
Pd (0.6667, 0.3333, 0.8333)  6 Sc 2.89

Fermi-level density of states in states/eV per cell: 17.21



Q:
Computed, not measured: a geometry-optimized DySc2Pd structure at the PBE-GGA level of DFT.

abc: 3.4551 3.4551 28.0107
angles: 90.00 90.00 120.00
With the nearest neighbours (Å) after each atom.
Element x y z (fractional)
Dy (0.0000, 0.0000, 0.0000)  6 Sc 3.39-3.48, 6 Dy 3.46
Dy (0.3333, 0.6667, 0.6667)  6 Sc 3.39-3.48, 6 Dy 3.46
Dy (0.6667, 0.3333, 0.3333)  6 Sc 3.39-3.48, 6 Dy 3.46
Sc (0.0000, 0.0000, 0.5649)  3 Pd 2.74
Sc (0.0000, 0.0000, 0.7645)  3 Pd 2.74
Sc (0.3333, 0.6667, 0.2316)  3 Pd 2.74
Sc (0.3333, 0.6667, 0.4312)  3 Pd 2.74
Sc (0.6667, 0.3333, 0.0978)  3 Pd 2.74
Sc (0.6667, 0.3333, 0.8983)  3 Pd 2.74
Pd (0.0000, 0.0000, 0.1647)  6 Sc 2.74
Pd (0.3333, 0.6667, 0.8313)  6 Sc 2.74
Pd (0.6667, 0.3333, 0.4980)  6 Sc 2.74

Fermi-level density of states in states/eV per cell: 15.79



Relative energies in meV per atom: P 104; Q 0



P:
Computed, not measured: a geometry-optimized DySc2Pd structure at the PBE-GGA level of DFT.

abc: 3.3916 3.3916 7.9906
angles: 90.00 90.00 90.00
With the nearest neighbours (Å) after each atom.
Element x y z (fractional)
Dy (0.0000, 0.0000, 0.0000)  4 Dy 3.39, 8 Sc 3.40
Sc (0.5000, 0.5000, 0.3023)  4 Pd 2.87, 1 Sc 3.16
Sc (0.5000, 0.5000, 0.6977)  4 Pd 2.87, 1 Sc 3.16
Pd (0.0000, 0.0000, 0.5000)  8 Sc 2.87

Fermi-level density of states in states/eV per cell: 5.56



Q:
Computed, not measured: a geometry-optimized DySc2Pd structure at the PBE-GGA level of DFT.

abc: 4.6455 11.0796 7.3820
angles: 90.00 90.00 90.00
With the nearest neighbours (Å) after each atom.
Element x y z (fractional)
Dy (0.0000, 0.0523, 0.2500)  1 Pd 2.82
Dy (0.0000, 0.9477, 0.7500)  1 Pd 2.82
Dy (0.5000, 0.4477, 0.7500)  1 Pd 2.82
Dy (0.5000, 0.5523, 0.2500)  1 Pd 2.82
Sc (0.0000, 0.3494, 0.0409)  3 Pd 2.70-2.85
Sc (0.0000, 0.3494, 0.4591)  3 Pd 2.70-2.85
Sc (0.0000, 0.6506, 0.5409)  3 Pd 2.70-2.85
Sc (0.0000, 0.6506, 0.9591)  3 Pd 2.70-2.85
Sc (0.5000, 0.1506, 0.5409)  3 Pd 2.70-2.85
Sc (0.5000, 0.1506, 0.9591)  3 Pd 2.70-2.85
Sc (0.5000, 0.8494, 0.0409)  3 Pd 2.70-2.85
Sc (0.5000, 0.8494, 0.4591)  3 Pd 2.70-2.85
Pd (0.0000, 0.2021, 0.7500)  6 Sc 2.70-2.85, 1 Dy 2.82
Pd (0.0000, 0.7979, 0.2500)  6 Sc 2.70-2.85, 1 Dy 2.82
Pd (0.5000, 0.2979, 0.2500)  6 Sc 2.70-2.85, 1 Dy 2.82
Pd (0.5000, 0.7021, 0.7500)  6 Sc 2.70-2.85, 1 Dy 2.82

Fermi-level density of states in states/eV per cell: 27.37



Relative energies in meV per atom: P 32; Q 0